1.
The following is a PBE calculation of a geometry-optimized FeNi12Pt4 structure, from the Alexandria database.

Cell: 7.5058 7.5058 7.5058 Å, 90.00 90.00 90.00°
With the nearest neighbours (Å) after each atom.
Space group Im-3m (No. 229)
One atom of each set of equivalent atoms:
Fe (0.0000, 0.0000, 0.0000) (multiplicity 2)  6 Ni 2.25
Ni (0.0000, 0.0000, 0.3004) (multiplicity 12)  1 Fe 2.25, 4 Ni 2.40
Ni (0.0000, 0.2500, 0.5000) (multiplicity 12)  8 Ni 2.40-2.65, 4 Pt 2.65
Pt (0.2500, 0.2500, 0.2500) (multiplicity 8)  12 Ni 2.65-2.68

## Properties
DFT total energy (eV/f.u.): -100.989
Calculated density (g cm⁻³): 12.10
ΔH_f (0 K) (eV/atom): 0.06



2.
The following is a PBE calculation of a geometry-optimized Ti3SiNi structure, from the Alexandria database.

Cell: 4.4648 4.4648 4.4648 Å, 90.00 90.00 90.00°
With the nearest neighbours (Å) after each atom.
Space group Pm-3m (No. 221)
One atom of each set of equivalent atoms:
Ti (0.0000, 0.0000, 0.5000) (multiplicity 3)  2 Ni 2.23
Si (0.5000, 0.5000, 0.5000) (multiplicity 1)  12 Ti 3.16
Ni (0.0000, 0.0000, 0.0000) (multiplicity 1)  6 Ti 2.23

## Properties
DFT total energy (eV/f.u.): -33.893
Calculated density (g cm⁻³): 4.30
ΔE_f (raw) (meV/atom): 199